Entry 1:
Computed, not measured: a relaxed structure of Zr2ScS3 at the PBE-GGA level of DFT.

Cell lengths 6.5622, 6.5622, 7.2792 Å; angles 106.06, 106.06, 46.50 degrees
Sites, in units of the cell vectors:
Zr1 0.1860 0.1877 0.0936
Zr2 0.1877 0.1860 0.5936
Zr3 0.8123 0.8140 0.4064
Zr4 0.8140 0.8123 0.9064
Sc1 0.4991 0.5009 0.2500
Sc2 0.5009 0.4991 0.7500
S1 0.0007 0.9993 0.7500
S2 0.3447 0.3464 0.4228
S3 0.3464 0.3447 0.9228
S4 0.6536 0.6553 0.0772
S5 0.6553 0.6536 0.5772
S6 0.9993 0.0007 0.2500

**Total moment**: 0.00 μB per atom
**Space group**: C2/c
**E_form (uncorrected)**: -1.548 eV/atom
**Total energy**: -7.52 eV/atom

=====

Entry 2:
Computed, not measured: a relaxed structure of ZrScS at the PBE-GGA level of DFT.

Cell lengths 3.7233, 3.7233, 8.7183 Å; angles 90.00, 90.00, 90.00 degrees
Sites, in units of the cell vectors:
Zr1 0.2500 0.2500 0.0723
Zr2 0.7500 0.7500 0.9277
Sc1 0.2500 0.2500 0.6721
Sc2 0.7500 0.7500 0.3279
S1 0.2500 0.2500 0.3705
S2 0.7500 0.7500 0.6295

**Total moment**: 0.00 μB per atom
**Space group**: P4/nmm
**Excess energy over the best structure of this formula in the dataset**: 0.0 meV/atom
**E_form (uncorrected)**: -1.175 eV/atom
**Total energy**: -7.51 eV/atom

=====

Entry 3:
Computed, not measured: a relaxed structure of Zr2Sc4S9 at the PBE-GGA level of DFT.

Cell lengths 6.4504, 6.4504, 17.8304 Å; angles 90.00, 90.00, 120.00 degrees
Sites, in units of the cell vectors:
Zr1 0.0000 0.0000 0.1618
Zr2 0.0000 0.0000 0.3382
Zr3 0.0000 0.0000 0.6618
Zr4 0.0000 0.0000 0.8382
Sc1 0.3333 0.6667 0.0127
Sc2 0.3333 0.6667 0.3259
Sc3 0.3333 0.6667 0.5127
Sc4 0.3333 0.6667 0.8259
Sc5 0.6667 0.3333 0.1741
Sc6 0.6667 0.3333 0.4873
Sc7 0.6667 0.3333 0.6741
Sc8 0.6667 0.3333 0.9873
S1 0.0000 0.3216 0.2500
S2 0.0000 0.6784 0.7500
S3 0.0235 0.3520 0.9177
S4 0.0235 0.6715 0.4177
S5 0.3216 0.0000 0.2500
S6 0.3216 0.3216 0.7500
S7 0.3285 0.3520 0.4177
S8 0.3285 0.9765 0.9177
S9 0.3520 0.0235 0.5823
S10 0.3520 0.3285 0.0823
S11 0.6480 0.6715 0.9177
S12 0.6480 0.9765 0.4177
S13 0.6715 0.0235 0.0823
S14 0.6715 0.6480 0.5823
S15 0.6784 0.0000 0.7500
S16 0.6784 0.6784 0.2500
S17 0.9765 0.3285 0.5823
S18 0.9765 0.6480 0.0823

**Total moment**: 0.00 μB per atom
**Space group**: P-3c1
**E_form (uncorrected)**: -1.739 eV/atom
**Total energy**: -7.04 eV/atom